VASP calculation (PBE) on a relaxed PdPt7Rh2 crystal.

Computed properties:
As for the space group: Cmmm (65). The energy of formation from the pure elements comes out at 4.87 eV per formula unit. The calculated total energy comes out at -5.7311 eV per atom.

a b c (Å): 4.009 7.578 7.578
angles (deg): 123.42 90.00 90.00
Positions (direct):
Pt 0.000 0.802 0.198
Pt 0.500 0.500 0.500
Pt 0.500 0.918 0.706
Pt 0.500 0.294 0.082
Pt 0.000 0.198 0.802
Pt 0.500 0.706 0.918
Pt 0.500 0.082 0.294
Rh 0.500 0.694 0.306
Rh 0.500 0.306 0.694
Pd 0.000 0.000 0.000